Record 1
Pd2ClF | PBE | relaxed

Structure (CIF):
```
data_Pd2ClF
_cell_length_a 6.165
_cell_length_b 6.165
_cell_length_c 6.165
_cell_angle_alpha 90.00
_cell_angle_beta 90.00
_cell_angle_gamma 90.00
_space_group_name_H-M_alt 'F m -3 m'
_space_group_IT_number 225
_space_group_name_Hall '-F 4 2 3'
loop_
_atom_site_label
_atom_site_type_symbol
_atom_site_fract_x
_atom_site_fract_y
_atom_site_fract_z
Pd1 Pd 0.250 0.250 0.250
Cl1 Cl 0.000 0.000 0.000
F1 F 0.000 0.000 0.500
```

## Properties
Fermi-level density of states (states/eV/f.u.): 4.4
Formation energy from raw total energies (eV/f.u.): -0.39

Record 2
PdCl6F2 | PBE | relaxed

Structure (CIF):
```
data_PdCl6F2
_cell_length_a 3.403
_cell_length_b 8.159
_cell_length_c 9.382
_cell_angle_alpha 66.72
_cell_angle_beta 81.60
_cell_angle_gamma 89.87
_space_group_name_H-M_alt 'P -1'
_space_group_IT_number 2
loop_
_space_group_symop_operation_xyz
'x,y,z'
'-x,-y,-z'
loop_
_atom_site_label
_atom_site_type_symbol
_atom_site_fract_x
_atom_site_fract_y
_atom_site_fract_z
Pd1 Pd 0.000 0.000 0.000
Cl1 Cl 0.108 0.077 0.732
Cl2 Cl 0.118 0.763 0.712
Cl3 Cl 0.128 0.525 0.690
F1 F 0.491 0.842 0.023
```

## Properties
Fermi-level density of states (states/eV/f.u.): 4.7
Formation energy from raw total energies (eV/f.u.): -3.34

Record 3
Pd2ClF | PBE | relaxed

Structure (CIF):
```
data_Pd2ClF
_cell_length_a 6.533
_cell_length_b 6.533
_cell_length_c 5.894
_cell_angle_alpha 90.00
_cell_angle_beta 90.00
_cell_angle_gamma 90.00
_space_group_name_H-M_alt 'I -4 2 d'
_space_group_IT_number 122
_space_group_name_Hall 'I -4 2bw'
loop_
_atom_site_label
_atom_site_type_symbol
_atom_site_fract_x
_atom_site_fract_y
_atom_site_fract_z
Pd1 Pd 0.237 0.250 0.125
Cl1 Cl 0.000 0.000 0.500
F1 F 0.000 0.000 0.000
```

## Properties
Fermi-level density of states (states/eV/f.u.): 5.6
Formation energy from raw total energies (eV/f.u.): -0.66

Record 4
PdClF | PBE | relaxed

Structure (CIF):
```
data_PdClF
_cell_length_a 3.566
_cell_length_b 5.338
_cell_length_c 5.603
_cell_angle_alpha 90.00
_cell_angle_beta 90.00
_cell_angle_gamma 90.00
_space_group_name_H-M_alt 'P m n 21'
_space_group_IT_number 31
loop_
_space_group_symop_operation_xyz
'x,y,z'
'-x+1/2,-y,z+1/2'
'-x,y,z'
'x+1/2,-y,z+1/2'
loop_
_atom_site_label
_atom_site_type_symbol
_atom_site_fract_x
_atom_site_fract_y
_atom_site_fract_z
Pd1 Pd 0.000 0.225 0.000
Cl1 Cl 0.000 0.565 0.296
F1 F 0.000 0.943 0.685
```

## Properties
Fermi-level density of states (states/eV/f.u.): 1.6
Formation energy from raw total energies (eV/f.u.): -2.19

Record 5
PdClF3 | PBE | relaxed

Structure (CIF):
```
data_PdClF3
_cell_length_a 4.085
_cell_length_b 6.487
_cell_length_c 8.491
_cell_angle_alpha 103.43
_cell_angle_beta 97.44
_cell_angle_gamma 90.34
_space_group_name_H-M_alt 'P 1'
_space_group_IT_number 1
loop_
_space_group_symop_operation_xyz
'x,y,z'
loop_
_atom_site_label
_atom_site_type_symbol
_atom_site_fract_x
_atom_site_fract_y
_atom_site_fract_z
Pd1 Pd 0.000 0.000 0.000
Pd2 Pd 0.001 0.501 0.001
Cl1 Cl 0.583 0.605 0.438
Cl2 Cl 0.652 0.908 0.552
F1 F 0.043 0.312 0.158
F2 F 0.044 0.784 0.159
F3 F 0.496 0.999 0.984
F4 F 0.501 0.501 0.001
F5 F 0.957 0.221 0.842
F6 F 0.959 0.686 0.843
```

## Properties
Fermi-level density of states (states/eV/f.u.): 3.7
Formation energy from raw total energies (eV/f.u.): -4.80

Record 6
PdCl2F2 | PBE | relaxed

Structure (CIF):
```
data_PdCl2F2
_cell_length_a 3.353
_cell_length_b 3.353
_cell_length_c 16.738
_cell_angle_alpha 90.00
_cell_angle_beta 90.00
_cell_angle_gamma 90.00
_space_group_name_H-M_alt 'I 4/m m m'
_space_group_IT_number 139
_space_group_name_Hall '-I 4 2'
loop_
_atom_site_label
_atom_site_type_symbol
_atom_site_fract_x
_atom_site_fract_y
_atom_site_fract_z
Pd1 Pd 0.000 0.000 0.000
Cl1 Cl 0.000 0.500 0.250
F1 F 0.000 0.000 0.429
```

## Properties
Fermi-level density of states (states/eV/f.u.): 3.6
Formation energy from raw total energies (eV/f.u.): 0.19

Record 7
PdClF3 | PBE | relaxed

Structure (CIF):
```
data_PdClF3
_cell_length_a 5.589
_cell_length_b 5.986
_cell_length_c 5.065
_cell_angle_alpha 90.00
_cell_angle_beta 90.00
_cell_angle_gamma 90.00
_space_group_name_H-M_alt 'P m n 21'
_space_group_IT_number 31
loop_
_space_group_symop_operation_xyz
'x,y,z'
'-x+1/2,-y,z+1/2'
'-x,y,z'
'x+1/2,-y,z+1/2'
loop_
_atom_site_label
_atom_site_type_symbol
_atom_site_fract_x
_atom_site_fract_y
_atom_site_fract_z
Pd1 Pd 0.000 0.006 0.000
Cl1 Cl 0.000 0.334 0.223
F1 F 0.000 0.728 0.797
F2 F 0.247 0.870 0.249
```

## Properties
Fermi-level density of states (states/eV/f.u.): 4.2
Formation energy from raw total energies (eV/f.u.): -4.39

Record 8
PdClF3 | PBE | relaxed

Structure (CIF):
```
data_PdClF3
_cell_length_a 4.311
_cell_length_b 4.311
_cell_length_c 4.311
_cell_angle_alpha 90.00
_cell_angle_beta 90.00
_cell_angle_gamma 90.00
_space_group_name_H-M_alt 'P m -3 m'
_space_group_IT_number 221
_space_group_name_Hall '-P 4 2 3'
loop_
_atom_site_label
_atom_site_type_symbol
_atom_site_fract_x
_atom_site_fract_y
_atom_site_fract_z
Pd1 Pd 0.000 0.000 0.000
Cl1 Cl 0.500 0.500 0.500
F1 F 0.000 0.500 0.500
```

## Properties
Fermi-level density of states (states/eV/f.u.): 14.9
Formation energy from raw total energies (eV/f.u.): 0.42

Record 9
Rb2PdCl6F | PBE | relaxed

Structure (CIF):
```
data_Rb2PdCl6F
_cell_length_a 7.669
_cell_length_b 7.669
_cell_length_c 9.118
_cell_angle_alpha 90.00
_cell_angle_beta 90.00
_cell_angle_gamma 90.00
_space_group_name_H-M_alt 'I 4/m m m'
_space_group_IT_number 139
_space_group_name_Hall '-I 4 2'
loop_
_atom_site_label
_atom_site_type_symbol
_atom_site_fract_x
_atom_site_fract_y
_atom_site_fract_z
Rb1 Rb 0.000 0.500 0.250
Pd1 Pd 0.000 0.000 0.000
Cl1 Cl 0.000 0.000 0.268
Cl2 Cl 0.216 0.216 0.000
F1 F 0.000 0.000 0.500
```

## Properties
Fermi-level density of states (states/eV/f.u.): 9.1
Formation energy from raw total energies (eV/f.u.): -10.48

Record 10
Rb2PdClF6 | PBE | relaxed

Structure (CIF):
```
data_Rb2PdClF6
_cell_length_a 6.376
_cell_length_b 6.376
_cell_length_c 9.650
_cell_angle_alpha 90.00
_cell_angle_beta 90.00
_cell_angle_gamma 90.00
_space_group_name_H-M_alt 'I 4/m m m'
_space_group_IT_number 139
_space_group_name_Hall '-I 4 2'
loop_
_atom_site_label
_atom_site_type_symbol
_atom_site_fract_x
_atom_site_fract_y
_atom_site_fract_z
Rb1 Rb 0.000 0.500 0.250
Pd1 Pd 0.000 0.000 0.000
Cl1 Cl 0.000 0.000 0.500
F1 F 0.000 0.000 0.203
F2 F 0.219 0.219 0.000
```

## Properties
Fermi-level density of states (states/eV/f.u.): 2.6
Formation energy from raw total energies (eV/f.u.): -17.32

Record 11
RbPdCl2F | PBE | relaxed

Structure (CIF):
```
data_RbPdCl2F
_cell_length_a 5.022
_cell_length_b 5.022
_cell_length_c 4.366
_cell_angle_alpha 90.00
_cell_angle_beta 90.00
_cell_angle_gamma 90.00
_space_group_name_H-M_alt 'P 4/m m m'
_space_group_IT_number 123
_space_group_name_Hall '-P 4 2'
loop_
_atom_site_label
_atom_site_type_symbol
_atom_site_fract_x
_atom_site_fract_y
_atom_site_fract_z
Rb1 Rb 0.000 0.000 0.000
Pd1 Pd 0.500 0.500 0.500
Cl1 Cl 0.000 0.500 0.500
F1 F 0.500 0.500 0.000
```

## Properties
Fermi-level density of states (states/eV/f.u.): 1.4
Formation energy from raw total energies (eV/f.u.): -6.53

Record 12
PdSCl2F | PBE | relaxed

Structure (CIF):
```
data_PdSCl2F
_cell_length_a 4.898
_cell_length_b 4.898
_cell_length_c 4.519
_cell_angle_alpha 90.00
_cell_angle_beta 90.00
_cell_angle_gamma 90.00
_space_group_name_H-M_alt 'P 4/m m m'
_space_group_IT_number 123
_space_group_name_Hall '-P 4 2'
loop_
_atom_site_label
_atom_site_type_symbol
_atom_site_fract_x
_atom_site_fract_y
_atom_site_fract_z
Pd1 Pd 0.000 0.000 0.000
S1 S 0.000 0.000 0.500
Cl1 Cl 0.000 0.500 0.000
F1 F 0.500 0.500 0.500
```

## Properties
Fermi-level density of states (states/eV/f.u.): 8.4
Formation energy from raw total energies (eV/f.u.): 1.06

Record 13
PdSCl2F | PBE | relaxed

Structure (CIF):
```
data_PdSCl2F
_cell_length_a 5.372
_cell_length_b 5.372
_cell_length_c 3.605
_cell_angle_alpha 90.00
_cell_angle_beta 90.00
_cell_angle_gamma 90.00
_space_group_name_H-M_alt 'P 4/m m m'
_space_group_IT_number 123
_space_group_name_Hall '-P 4 2'
loop_
_atom_site_label
_atom_site_type_symbol
_atom_site_fract_x
_atom_site_fract_y
_atom_site_fract_z
Pd1 Pd 0.000 0.000 0.000
S1 S 0.500 0.500 0.000
Cl1 Cl 0.000 0.500 0.500
F1 F 0.500 0.500 0.500
```

## Properties
Fermi-level density of states (states/eV/f.u.): 5.1
Formation energy from raw total energies (eV/f.u.): 2.66

Record 14
SbPdClF2 | PBE | relaxed

Structure (CIF):
```
data_SbPdClF2
_cell_length_a 4.318
_cell_length_b 4.318
_cell_length_c 5.628
_cell_angle_alpha 90.00
_cell_angle_beta 90.00
_cell_angle_gamma 90.00
_space_group_name_H-M_alt 'P 4/m m m'
_space_group_IT_number 123
_space_group_name_Hall '-P 4 2'
loop_
_atom_site_label
_atom_site_type_symbol
_atom_site_fract_x
_atom_site_fract_y
_atom_site_fract_z
Sb1 Sb 0.000 0.000 0.000
Pd1 Pd 0.500 0.500 0.500
Cl1 Cl 0.000 0.000 0.500
F1 F 0.000 0.500 0.000
```

## Properties
Fermi-level density of states (states/eV/f.u.): 1.7
Formation energy from raw total energies (eV/f.u.): -4.50

Record 15
TePdCl2F | PBE | relaxed

Structure (CIF):
```
data_TePdCl2F
_cell_length_a 5.454
_cell_length_b 5.454
_cell_length_c 3.845
_cell_angle_alpha 90.00
_cell_angle_beta 90.00
_cell_angle_gamma 90.00
_space_group_name_H-M_alt 'P 4/m m m'
_space_group_IT_number 123
_space_group_name_Hall '-P 4 2'
loop_
_atom_site_label
_atom_site_type_symbol
_atom_site_fract_x
_atom_site_fract_y
_atom_site_fract_z
Te1 Te 0.000 0.000 0.000
Pd1 Pd 0.500 0.500 0.000
Cl1 Cl 0.000 0.500 0.500
F1 F 0.500 0.500 0.500
```

## Properties
Fermi-level density of states (states/eV/f.u.): 6.0
Formation energy from raw total energies (eV/f.u.): 0.94

Record 16
TlPdCl2F | PBE | relaxed

Structure (CIF):
```
data_TlPdCl2F
_cell_length_a 5.023
_cell_length_b 5.023
_cell_length_c 4.306
_cell_angle_alpha 90.00
_cell_angle_beta 90.00
_cell_angle_gamma 90.00
_space_group_name_H-M_alt 'P 4/m m m'
_space_group_IT_number 123
_space_group_name_Hall '-P 4 2'
loop_
_atom_site_label
_atom_site_type_symbol
_atom_site_fract_x
_atom_site_fract_y
_atom_site_fract_z
Tl1 Tl 0.000 0.000 0.000
Pd1 Pd 0.500 0.500 0.500
Cl1 Cl 0.000 0.500 0.500
F1 F 0.500 0.500 0.000
```

## Properties
Fermi-level density of states (states/eV/f.u.): 1.2
Formation energy from raw total energies (eV/f.u.): -4.56

Record 17
Tl2PdCl2F2 | PBE | relaxed

Structure (CIF):
```
data_Tl2PdCl2F2
_cell_length_a 13.251
_cell_length_b 3.851
_cell_length_c 7.702
_cell_angle_alpha 90.00
_cell_angle_beta 119.96
_cell_angle_gamma 90.00
_space_group_name_H-M_alt 'C 1 2/m 1'
_space_group_IT_number 12
loop_
_space_group_symop_operation_xyz
'x,y,z'
'-x,-y,-z'
'-x,y,-z'
'x,-y,z'
'x+1/2,y+1/2,z'
'-x+1/2,-y+1/2,-z'
'-x+1/2,y+1/2,-z'
'x+1/2,-y+1/2,z'
loop_
_atom_site_label
_atom_site_type_symbol
_atom_site_fract_x
_atom_site_fract_y
_atom_site_fract_z
Tl1 Tl 0.179 0.000 0.222
Pd1 Pd 0.000 0.000 0.500
Cl1 Cl 0.047 0.500 0.749
F1 F 0.184 0.000 0.567
```

## Properties
Formation energy from raw total energies (eV/f.u.): -8.01

Record 18
YPd2ClF | PBE | relaxed

Structure (CIF):
```
data_YPd2ClF
_cell_length_a 4.240
_cell_length_b 4.240
_cell_length_c 5.263
_cell_angle_alpha 90.00
_cell_angle_beta 90.00
_cell_angle_gamma 90.00
_space_group_name_H-M_alt 'P 4/m m m'
_space_group_IT_number 123
_space_group_name_Hall '-P 4 2'
loop_
_atom_site_label
_atom_site_type_symbol
_atom_site_fract_x
_atom_site_fract_y
_atom_site_fract_z
Y1 Y 0.000 0.000 0.000
Pd1 Pd 0.000 0.500 0.500
Cl1 Cl 0.500 0.500 0.000
F1 F 0.500 0.500 0.500
```

## Properties
Fermi-level density of states (states/eV/f.u.): 2.4
Formation energy from raw total energies (eV/f.u.): -3.35

Record 19
PmCl3F | PBE | relaxed

Structure (CIF):
```
data_PmCl3F
_cell_length_a 10.647
_cell_length_b 8.196
_cell_length_c 7.672
_cell_angle_alpha 90.00
_cell_angle_beta 114.89
_cell_angle_gamma 90.00
_space_group_name_H-M_alt 'C 1 2/m 1'
_space_group_IT_number 12
loop_
_space_group_symop_operation_xyz
'x,y,z'
'-x,-y,-z'
'-x,y,-z'
'x,-y,z'
'x+1/2,y+1/2,z'
'-x+1/2,-y+1/2,-z'
'-x+1/2,y+1/2,-z'
'x+1/2,-y+1/2,z'
loop_
_atom_site_label
_atom_site_type_symbol
_atom_site_fract_x
_atom_site_fract_y
_atom_site_fract_z
Pm1 Pm 0.181 0.000 0.021
Cl1 Cl 0.040 0.500 0.402
Cl2 Cl 0.243 0.294 0.209
F1 F 0.038 0.000 0.182
```

## Properties
Fermi-level density of states (states/eV/f.u.): 0.0
Formation energy from raw total energies (eV/f.u.): -11.08

Record 20
PmClF2 | PBE | relaxed

Structure (CIF):
```
data_PmClF2
_cell_length_a 3.893
_cell_length_b 10.109
_cell_length_c 7.097
_cell_angle_alpha 90.00
_cell_angle_beta 90.00
_cell_angle_gamma 90.00
_space_group_name_H-M_alt 'C m c m'
_space_group_IT_number 63
_space_group_name_Hall '-C 2c 2'
loop_
_atom_site_label
_atom_site_type_symbol
_atom_site_fract_x
_atom_site_fract_y
_atom_site_fract_z
Pm1 Pm 0.000 0.237 0.250
Cl1 Cl 0.000 0.047 0.750
F1 F 0.000 0.319 0.567
```

## Properties
Fermi-level density of states (states/eV/f.u.): 0.0
Formation energy from raw total energies (eV/f.u.): -14.03